## one
20
Lattice="9.285 0.000 0.000 0.000 4.095 0.000 0.000 0.000 15.170" Properties=species:S:1:pos:R:3 comment="GGA-PBEsol TlCdBr3, optimized geometry" m_tot_mub_per_cell=0.00 dos_ef_per_ev_cell=0.0 spacegroup="No. 62" pbc="T T T"
Tl 0.570 1.024 2.681
Tl 4.072 3.071 10.266
Tl 5.213 1.024 4.904
Tl 8.715 3.071 12.489
Cd 1.562 3.071 6.732
Cd 3.080 1.024 14.317
Cd 6.205 3.071 0.853
Cd 7.723 1.024 8.439
Br 0.217 3.071 9.189
Br 1.503 3.071 0.119
Br 1.946 1.024 11.898
Br 2.697 3.071 4.312
Br 3.139 1.024 7.704
Br 4.425 1.024 1.604
Br 4.860 3.071 13.567
Br 6.146 3.071 7.467
Br 6.589 1.024 10.858
Br 7.339 3.071 3.273
Br 7.782 1.024 15.052
Br 9.068 1.024 5.982

=====

## two
5
Lattice="5.390 0.000 0.000 0.000 5.390 0.000 0.000 0.000 5.390" Properties=species:S:1:pos:R:3 comment="GGA-PBEsol TlCdBr3, optimized geometry" m_tot_mub_per_cell=0.00 spacegroup="No. 221" pbc="T T T"
Tl 0.000 0.000 0.000
Cd 2.695 2.695 2.695
Br 0.000 2.695 2.695
Br 2.695 0.000 2.695
Br 2.695 2.695 0.000

=====

Energetically preferred structure: one | next structure: +9.6 kJ/mol of atoms

=====

## one
4
Lattice="-1.524 2.518 6.328 1.524 -2.518 6.328 1.524 2.518 -6.328" Properties=species:S:1:pos:R:3 comment="GGA-PBEsol CdWBr2, optimized geometry" m_tot_mub_per_cell=0.00 dos_ef_per_ev_cell=2.2 spacegroup="No. 71" pbc="T T T"
Cd 0.000 0.000 0.000
W 0.000 0.000 6.328
Br 1.524 0.000 4.267
Br 0.000 2.518 2.061

=====

## two
4
Lattice="0.000 3.358 3.358 3.358 0.000 3.358 3.358 3.358 0.000" Properties=species:S:1:pos:R:3 comment="GGA-PBEsol CdWBr2, optimized geometry" m_tot_mub_per_cell=0.00 dos_ef_per_ev_cell=3.1 spacegroup="No. 225" pbc="T T T"
Cd 0.000 0.000 0.000
W 3.358 3.358 3.358
Br 1.679 1.679 1.679
Br 5.036 5.036 5.036

=====

## three
4
Lattice="3.098 0.000 0.000 0.000 4.609 0.000 0.000 0.000 5.829" Properties=species:S:1:pos:R:3 comment="GGA-PBEsol CdWBr2, optimized geometry" m_tot_mub_per_cell=1.69 dos_ef_per_ev_cell=3.8 spacegroup="No. 47" pbc="T T T"
Cd 0.000 0.000 0.000
W 1.549 0.000 2.914
Br 0.000 2.305 2.914
Br 1.549 2.305 0.000

=====

Energetically preferred structure: one | next structure: +61.6 kJ/mol of atoms

=====

## one
4
Lattice="0.000 3.514 3.514 3.514 0.000 3.514 3.514 3.514 0.000" Properties=species:S:1:pos:R:3 comment="GGA-PBEsol Zn2CdBr, optimized geometry" m_tot_mub_per_cell=0.00 dos_ef_per_ev_cell=2.7 spacegroup="No. 225" pbc="T T T"
Zn 1.757 1.757 1.757
Zn 5.272 5.272 5.272
Cd 0.000 0.000 0.000
Br 3.514 3.514 3.514

=====

## two
4
Lattice="3.209 0.000 0.000 0.000 3.376 0.000 0.000 0.000 7.471" Properties=species:S:1:pos:R:3 comment="GGA-PBEsol Zn2CdBr, optimized geometry" m_tot_mub_per_cell=0.00 dos_ef_per_ev_cell=0.9 spacegroup="No. 47" pbc="T T T"
Zn 0.000 0.000 1.673
Zn 0.000 0.000 5.799
Cd 1.604 1.688 0.000
Br 0.000 1.688 3.736

=====

Energetically preferred structure: two | next structure: +28.2 kJ/mol of atoms

=====

## one
4
Lattice="3.326 -2.363 0.000 3.326 2.363 0.000 0.000 0.000 7.683" Properties=species:S:1:pos:R:3 comment="GGA-PBEsol BrCl, optimized geometry" m_tot_mub_per_cell=0.00 dos_ef_per_ev_cell=0.0 spacegroup="No. 63" pbc="T T T"
Br 0.000 0.000 0.000
Br 0.000 0.000 3.842
Cl 3.326 0.951 5.763
Cl 3.326 -0.951 1.921

=====

## two
4
Lattice="3.629 0.000 0.000 0.000 3.629 0.000 0.000 0.000 6.669" Properties=species:S:1:pos:R:3 comment="GGA-PBEsol BrCl, optimized geometry" m_tot_mub_per_cell=0.00 dos_ef_per_ev_cell=5.4 spacegroup="No. 129" pbc="T T T"
Br 0.907 0.907 0.797
Br 2.722 2.722 5.873
Cl 0.907 0.907 4.335
Cl 2.722 2.722 2.334

=====

Energetically preferred structure: one | next structure: +63.6 kJ/mol of atoms

=====

## one
2
Lattice="3.175 0.000 0.000 0.000 3.175 0.000 0.000 0.000 4.185" Properties=species:S:1:pos:R:3 comment="GGA-PBEsol BrCl, optimized geometry" m_tot_mub_per_cell=0.00 dos_ef_per_ev_cell=2.4 spacegroup="No. 123" pbc="T T T"
Br 0.000 0.000 0.000
Cl 1.587 1.587 2.093

=====

## two
4
Lattice="4.206 0.000 0.000 0.000 4.584 0.000 0.000 0.000 6.875" Properties=species:S:1:pos:R:3 comment="GGA-PBEsol BrCl, optimized geometry" m_tot_mub_per_cell=0.00 dos_ef_per_ev_cell=2.2 spacegroup="No. 59" pbc="T T T"
Br 1.052 1.146 1.375
Br 3.155 3.438 5.500
Cl 1.052 3.438 2.036
Cl 3.155 1.146 4.839

=====

Energetically preferred structure: two | next structure: +54.0 kJ/mol of atoms

=====

## one
6
Lattice="4.535 -1.955 0.000 4.535 1.955 0.000 -2.020 0.000 10.318" Properties=species:S:1:pos:R:3 comment="GGA-PBEsol BrCl2, optimized geometry" m_tot_mub_per_cell=0.00 spacegroup="No. 12" pbc="T T T"
Br -0.226 0.000 3.328
Br 7.275 0.000 6.990
Cl 1.951 0.000 3.440
Cl 1.524 0.000 10.199
Cl 5.525 0.000 0.119
Cl 5.097 0.000 6.878

=====

## two
6
Lattice="2.050 -11.340 0.000 2.050 11.340 0.000 0.000 0.000 4.521" Properties=species:S:1:pos:R:3 comment="GGA-PBEsol BrCl2, optimized geometry" m_tot_mub_per_cell=0.00 dos_ef_per_ev_cell=2.9 spacegroup="No. 63" pbc="T T T"
Br 2.050 7.070 3.391
Br 2.050 -7.070 1.130
Cl 2.050 7.761 1.130
Cl 2.050 0.251 3.391
Cl 2.050 -0.251 1.130
Cl 2.050 -7.761 3.391

=====

Energetically preferred structure: one | next structure: +1.6 kJ/mol of atoms

=====

## one
4
Lattice="3.006 0.000 0.000 0.000 3.006 0.000 0.000 0.000 9.013" Properties=species:S:1:pos:R:3 comment="GGA-PBEsol CoBrCl2, optimized geometry" m_tot_mub_per_cell=2.98 dos_ef_per_ev_cell=3.7 spacegroup="No. 99" pbc="T T T"
Co 0.000 0.000 0.000
Br 1.503 1.503 1.672
Cl 0.000 0.000 4.600
Cl 1.503 1.503 7.631

=====

## two
4
Lattice="4.896 0.000 0.000 0.000 4.896 0.000 0.000 0.000 3.122" Properties=species:S:1:pos:R:3 comment="GGA-PBEsol CoBrCl2, optimized geometry" m_tot_mub_per_cell=2.54 dos_ef_per_ev_cell=5.8 spacegroup="No. 123" pbc="T T T"
Co 0.000 0.000 0.000
Br 2.448 2.448 0.000
Cl 0.000 2.448 1.561
Cl 2.448 0.000 1.561

=====

Energetically preferred structure: one | next structure: +49.3 kJ/mol of atoms

=====

## one
4
Lattice="-1.602 2.964 4.606 1.602 -2.964 4.606 1.602 2.964 -4.606" Properties=species:S:1:pos:R:3 comment="GGA-PBEsol CoBrCl2, optimized geometry" m_tot_mub_per_cell=1.99 dos_ef_per_ev_cell=3.2 spacegroup="No. 44" pbc="T T T"
Co 0.000 0.000 0.000
Br 1.602 0.000 1.633
Cl 0.000 0.000 4.586
Cl 0.000 2.964 3.132

=====

## two
4
Lattice="1.718 0.992 7.208 -1.718 0.992 7.208 0.000 -1.984 7.208" Properties=species:S:1:pos:R:3 comment="GGA-PBEsol CoBrCl2, optimized geometry" m_tot_mub_per_cell=0.00 dos_ef_per_ev_cell=0.0 spacegroup="No. 160" pbc="T T T"
Co 0.000 0.000 0.000
Br 0.000 0.000 15.716
Cl 0.000 0.000 6.028
Cl 0.000 0.000 10.568

=====

Energetically preferred structure: two | next structure: +9.8 kJ/mol of atoms

=====

## one
4
Lattice="3.063 0.000 0.000 0.000 3.063 0.000 0.000 0.000 9.444" Properties=species:S:1:pos:R:3 comment="GGA-PBEsol CrBrCl2, optimized geometry" m_tot_mub_per_cell=3.89 dos_ef_per_ev_cell=3.7 spacegroup="No. 123" pbc="T T T"
Cr 0.000 0.000 0.000
Br 0.000 0.000 4.722
Cl 1.532 1.532 1.473
Cl 1.532 1.532 7.971

=====

## two
8
Lattice="-4.089 4.089 2.609 4.089 -4.089 2.609 4.089 4.089 -2.609" Properties=species:S:1:pos:R:3 comment="GGA-PBEsol CrBrCl2, optimized geometry" m_tot_mub_per_cell=6.00 dos_ef_per_ev_cell=3.0 spacegroup="No. 122" pbc="T T T"
Cr 0.000 0.000 0.000
Cr 0.000 4.089 1.304
Br 4.089 0.000 1.304
Br 0.000 0.000 2.609
Cl 0.984 2.044 0.652
Cl -2.044 3.105 1.957
Cl -0.984 6.133 0.652
Cl 2.044 5.073 1.957

=====

## three
4
Lattice="1.699 0.981 9.746 -1.699 0.981 9.746 0.000 -1.962 9.746" Properties=species:S:1:pos:R:3 comment="GGA-PBEsol CrBrCl2, optimized geometry" m_tot_mub_per_cell=3.74 dos_ef_per_ev_cell=5.3 spacegroup="No. 166" pbc="T T T"
Cr 0.000 0.000 0.000
Br 0.000 0.000 14.618
Cl 0.000 0.000 11.156
Cl 0.000 0.000 18.081

=====

Energetically preferred structure: two | next structure: +7.9 kJ/mol of atoms

=====

## one
4
Lattice="3.645 0.000 0.000 0.000 3.724 0.000 -0.111 0.000 6.391" Properties=species:S:1:pos:R:3 comment="GGA-PBEsol Cr2BrCl, optimized geometry" m_tot_mub_per_cell=9.85 dos_ef_per_ev_cell=1.0 spacegroup="No. 10" pbc="T T T"
Cr 0.420 0.000 1.703
Cr 3.114 0.000 4.688
Br 1.767 1.862 3.195
Cl 0.000 1.862 0.000

=====

## two
4
Lattice="2.852 0.000 0.000 0.000 2.852 0.000 0.000 0.000 7.818" Properties=species:S:1:pos:R:3 comment="GGA-PBEsol Cr2BrCl, optimized geometry" m_tot_mub_per_cell=0.00 dos_ef_per_ev_cell=2.6 spacegroup="No. 99" pbc="T T T"
Cr 0.000 0.000 0.000
Cr 1.426 1.426 1.758
Br 0.000 0.000 3.200
Cl 1.426 1.426 6.492

=====

## three
4
Lattice="3.700 0.000 0.000 0.000 3.700 0.000 0.000 0.000 6.397" Properties=species:S:1:pos:R:3 comment="GGA-PBEsol Cr2BrCl, optimized geometry" m_tot_mub_per_cell=9.98 dos_ef_per_ev_cell=1.2 spacegroup="No. 99" pbc="T T T"
Cr 0.000 0.000 0.000
Cr 1.850 1.850 2.741
Br 0.000 0.000 3.676
Cl 1.850 1.850 0.215

=====

Energetically preferred structure: two | next structure: +7.5 kJ/mol of atoms

=====

## one
3
Lattice="0.000 3.630 6.230 1.666 0.000 6.230 1.666 3.630 0.000" Properties=species:S:1:pos:R:3 comment="GGA-PBEsol CuBrCl, optimized geometry" m_tot_mub_per_cell=0.28 dos_ef_per_ev_cell=2.4 spacegroup="No. 42" pbc="T T T"
Cu 0.000 0.000 0.000
Br 1.666 3.630 7.911
Cl 1.666 3.630 4.738

=====

## two
3
Lattice="3.540 0.000 0.000 -1.770 3.066 0.000 0.000 0.000 5.905" Properties=species:S:1:pos:R:3 comment="GGA-PBEsol CuBrCl, optimized geometry" m_tot_mub_per_cell=1.01 dos_ef_per_ev_cell=3.2 spacegroup="No. 156" pbc="T T T"
Cu 0.000 0.000 0.000
Br 0.000 2.044 4.402
Cl 1.770 1.022 1.253

=====

Energetically preferred structure: one | next structure: +0.8 kJ/mol of atoms

=====

## one
3
Lattice="3.523 0.000 0.000 -1.761 3.051 0.000 0.000 0.000 6.272" Properties=species:S:1:pos:R:3 comment="GGA-PBEsol FeBrCl, optimized geometry" m_tot_mub_per_cell=4.00 dos_ef_per_ev_cell=2.2 spacegroup="No. 156" pbc="T T T"
Fe 0.000 0.000 0.000
Br 1.761 1.017 4.725
Cl 0.000 2.034 1.348

=====

## two
3
Lattice="0.000 3.141 3.141 3.141 0.000 3.141 3.141 3.141 0.000" Properties=species:S:1:pos:R:3 comment="GGA-PBEsol FeBrCl, optimized geometry" m_tot_mub_per_cell=4.00 dos_ef_per_ev_cell=6.1 spacegroup="No. 216" pbc="T T T"
Fe 0.000 0.000 0.000
Br 4.711 4.711 4.711
Cl 1.570 1.570 1.570

=====

Energetically preferred structure: one | next structure: +40.8 kJ/mol of atoms

=====

## one
4
Lattice="0.000 3.511 3.511 3.511 0.000 3.511 3.511 3.511 0.000" Properties=species:S:1:pos:R:3 comment="GGA-PBEsol InBrCl2, optimized geometry" m_tot_mub_per_cell=0.00 dos_ef_per_ev_cell=4.8 spacegroup="No. 225" pbc="T T T"
In 0.000 0.000 0.000
Br 3.511 3.511 3.511
Cl 1.755 1.755 1.755
Cl 5.266 5.266 5.266

=====

## two
4
Lattice="3.938 0.000 0.000 0.000 4.103 0.000 0.000 0.000 5.970" Properties=species:S:1:pos:R:3 comment="GGA-PBEsol InBrCl2, optimized geometry" m_tot_mub_per_cell=0.00 dos_ef_per_ev_cell=2.2 spacegroup="No. 47" pbc="T T T"
In 0.000 0.000 0.000
Br 1.969 0.000 2.985
Cl 0.000 2.051 2.985
Cl 1.969 2.051 0.000

=====

Energetically preferred structure: two | next structure: +9.5 kJ/mol of atoms